Record 1
Below is a relaxed CaReTe2 crystal, with properties calculated at the GGA-PBE level.

a b c (Å): 3.927 3.927 28.230
angles (deg): 90.00 90.00 120.00
Sites, in units of the cell vectors:
Ca: 0.000 0.000 0.000
Ca: 0.333 0.667 0.667
Ca: 0.667 0.333 0.333
Re: 0.000 0.000 0.500
Re: 0.333 0.667 0.167
Re: 0.667 0.333 0.833
Te: 0.000 0.000 0.112
Te: 0.000 0.000 0.888
Te: 0.333 0.667 0.554
Te: 0.333 0.667 0.779
Te: 0.667 0.333 0.221
Te: 0.667 0.333 0.446

Calculated values
Uncorrected energy, eV per cell: -60.4
Magnetization, μB per cell: 3.7
Formation energy from raw total energies, meV per atom: 151.5
Fermi-level density of states, states/eV per cell: 7.76
Space-group type: R-3m, No. 166

---

Record 2
Below is a relaxed KScCu2 crystal, with properties calculated at the GGA-PBE level.

a b c (Å): 3.466 3.446 7.737
angles (deg): 90.00 90.11 90.00
Sites, in units of the cell vectors:
K: 0.000 0.000 0.000
Sc: 0.000 0.000 0.500
Cu: 0.499 0.500 0.336
Cu: 0.501 0.500 0.664

Calculated values
Uncorrected energy, eV per cell: -15.3
Magnetization, μB per cell: 0.0
Fermi-level density of states, states/eV per cell: 2.05
Space-group type: P2/m, No. 10
Formation energy, eV/atom: 0.084

---

Record 3
Below is a relaxed Sc2Cd2Ga crystal, with properties calculated at the GGA-PBE level.

a b c (Å): 4.528 14.870 3.087
angles (deg): 90.00 90.00 90.00
Sites, in units of the cell vectors:
Sc: 0.000 0.101 0.000
Sc: 0.000 0.899 0.000
Sc: 0.500 0.399 0.000
Sc: 0.500 0.601 0.000
Cd: 0.000 0.304 0.500
Cd: 0.000 0.696 0.500
Cd: 0.500 0.196 0.500
Cd: 0.500 0.804 0.500
Ga: 0.000 0.500 0.500
Ga: 0.500 0.000 0.500

Calculated values
Uncorrected energy, eV per cell: -38.0
Magnetization, μB per cell: 0.9
Fermi-level density of states, states/eV per cell: 7.64
Space-group type: Cmmm, No. 65
Formation energy, eV/atom: -0.293